Record 1
# TcH4NO4

An optimized crystal structure of TcH4NO4 (GGA-PBEsol, Alexandria via LeMat-Bulk).

```
TcH4NO4
1.0
-3.084 3.084 5.843
3.084 -3.084 5.843
3.084 3.084 -5.843
Tc H N O
2 8 2 8
Direct
0.375 0.125 0.250
0.625 0.875 0.750
0.058 0.721 0.423
0.135 0.558 0.837
0.202 0.365 0.923
0.221 0.298 0.663
0.779 0.702 0.337
0.798 0.635 0.077
0.865 0.442 0.163
0.942 0.279 0.577
0.125 0.375 0.750
0.875 0.625 0.250
0.174 0.846 0.938
0.264 0.326 0.172
0.346 0.908 0.672
0.408 0.236 0.562
0.592 0.764 0.438
0.654 0.092 0.328
0.736 0.674 0.828
0.826 0.154 0.062
```

Calculated values
Total DFT energy (no corrections) (eV/atom): -6.4457

***

Record 2
# AlTlPt2

An optimized crystal structure of AlTlPt2 (GGA-PBEsol, Alexandria via LeMat-Bulk).

```
AlTlPt2
1.0
3.051 0.000 0.000
0.000 3.051 0.000
0.000 0.000 7.157
Al Tl Pt
1 1 2
Direct
0.000 0.000 0.000
0.000 0.000 0.500
0.500 0.500 0.201
0.500 0.500 0.799
```

Calculated values
Formation enthalpy at 0 K (kcal/mol of atoms): -11.16
Energy above the lowest structure with this stoichiometry (kcal/mol of atoms): 0.00

***

Record 3
# NaAlNi3

An optimized crystal structure of NaAlNi3 (GGA-PBEsol, Alexandria via LeMat-Bulk).

```
NaAlNi3
1.0
4.336 0.000 0.000
0.000 4.336 0.000
0.000 0.000 4.336
Na Al Ni
1 1 3
Direct
0.000 0.000 0.000
0.500 0.500 0.500
0.000 0.500 0.500
0.500 0.000 0.500
0.500 0.500 0.000
```

Calculated values
Formation enthalpy at 0 K (kcal/mol of atoms): 15.38

***

Record 4
# BaSbPb2

An optimized crystal structure of BaSbPb2 (GGA-PBEsol, Alexandria via LeMat-Bulk).

```
BaSbPb2
1.0
4.954 0.000 0.000
0.000 4.954 0.000
0.000 0.000 5.076
Ba Sb Pb
1 1 2
Direct
0.000 0.000 0.000
0.500 0.500 0.000
0.000 0.500 0.500
0.500 0.000 0.500
```

Calculated values
Total DFT energy (no corrections) (eV/atom): -4.1218

***

Record 5
# Fe3HgSe

An optimized crystal structure of Fe3HgSe (GGA-PBEsol, Alexandria via LeMat-Bulk).

```
Fe3HgSe
1.0
4.761 0.000 0.000
0.000 4.761 0.000
0.000 0.000 4.761
Fe Hg Se
3 1 1
Direct
0.000 0.000 0.500
0.000 0.500 0.000
0.500 0.000 0.000
0.000 0.000 0.000
0.500 0.500 0.500
```

Calculated values
Total DFT energy (no corrections) (eV/atom): -4.6417

***

Record 6
# NiP2PbCl

An optimized crystal structure of NiP2PbCl (GGA-PBEsol, Alexandria via LeMat-Bulk).

```
NiP2PbCl
1.0
5.134 0.000 0.000
0.000 5.134 0.000
0.000 0.000 5.193
Ni P Pb Cl
1 2 1 1
Direct
0.000 0.000 0.000
0.000 0.500 0.500
0.500 0.000 0.500
0.500 0.500 0.500
0.500 0.500 0.000
```

Calculated values
Total DFT energy (no corrections) (eV/atom): -3.2817

***

Record 7
# TeCCl2

An optimized crystal structure of TeCCl2 (GGA-PBEsol, Alexandria via LeMat-Bulk).

```
TeCCl2
1.0
3.178 0.000 0.000
-1.589 2.752 0.000
0.000 0.000 31.744
Te C Cl
3 3 6
Direct
0.000 0.000 0.000
0.333 0.667 0.667
0.667 0.333 0.333
0.000 0.000 0.500
0.333 0.667 0.167
0.667 0.333 0.833
0.000 0.000 0.125
0.000 0.000 0.875
0.333 0.667 0.542
0.333 0.667 0.792
0.667 0.333 0.208
0.667 0.333 0.458
```

Calculated values
Total DFT energy (no corrections) (eV/atom): -3.1823

***

Record 8
# Ba2SeN

An optimized crystal structure of Ba2SeN (GGA-PBEsol, Alexandria via LeMat-Bulk).

```
Ba2SeN
1.0
7.455 0.000 0.000
0.000 7.455 0.000
0.000 0.000 7.455
Ba Se N
8 4 4
Direct
0.250 0.250 0.250
0.250 0.250 0.750
0.250 0.750 0.250
0.250 0.750 0.750
0.750 0.250 0.250
0.750 0.250 0.750
0.750 0.750 0.250
0.750 0.750 0.750
0.000 0.000 0.000
0.000 0.500 0.500
0.500 0.000 0.500
0.500 0.500 0.000
0.000 0.000 0.500
0.000 0.500 0.000
0.500 0.000 0.000
0.500 0.500 0.500
```

Calculated values
Total DFT energy (no corrections) (eV/atom): -4.7986

***

Record 9
# Co4SnSb12

An optimized crystal structure of Co4SnSb12 (GGA-PBEsol, Alexandria via LeMat-Bulk).

```
Co4SnSb12
1.0
-4.527 4.527 4.527
4.527 -4.527 4.527
4.527 4.527 -4.527
Co Sn Sb
4 1 12
Direct
0.000 0.000 0.500
0.000 0.500 0.000
0.500 0.000 0.000
0.500 0.500 0.500
0.000 0.000 0.000
0.160 0.332 0.492
0.160 0.668 0.829
0.171 0.840 0.332
0.332 0.171 0.840
0.332 0.492 0.160
0.492 0.160 0.332
0.508 0.840 0.668
0.668 0.508 0.840
0.668 0.829 0.160
0.829 0.160 0.668
0.840 0.332 0.171
0.840 0.668 0.508
```

Calculated values
Total DFT energy (no corrections) (eV/atom): -5.4602

***

Record 10
# LaMo2Au

An optimized crystal structure of LaMo2Au (GGA-PBEsol, Alexandria via LeMat-Bulk).

```
LaMo2Au
1.0
2.753 0.000 0.000
0.000 4.300 0.000
0.000 0.000 6.549
La Mo Au
1 2 1
Direct
0.000 0.000 0.000
0.500 0.500 0.309
0.500 0.500 0.691
0.000 0.000 0.500
```

Calculated values
Formation enthalpy at 0 K (kcal/mol of atoms): 12.30
Energy above the lowest structure with this stoichiometry (kcal/mol of atoms): 3.85

***

Record 11
# KSrMg2

An optimized crystal structure of KSrMg2 (GGA-PBEsol, Alexandria via LeMat-Bulk).

```
KSrMg2
1.0
3.882 0.000 0.000
-1.941 3.362 0.000
0.000 0.000 35.784
K Sr Mg
3 3 6
Direct
0.000 0.000 0.000
0.333 0.667 0.667
0.667 0.333 0.333
0.000 0.000 0.500
0.333 0.667 0.167
0.667 0.333 0.833
0.000 0.000 0.245
0.000 0.000 0.755
0.333 0.667 0.421
0.333 0.667 0.912
0.667 0.333 0.088
0.667 0.333 0.579
```

Calculated values
Formation enthalpy at 0 K (kcal/mol of atoms): 5.05
Energy above the lowest structure with this stoichiometry (kcal/mol of atoms): 1.36

***

Record 12
# Nb3GeTe6

An optimized crystal structure of Nb3GeTe6 (GGA-PBEsol, Alexandria via LeMat-Bulk).

```
Nb3GeTe6
1.0
6.425 0.000 0.000
0.000 13.887 0.000
0.000 0.000 11.498
Nb Ge Te
12 4 24
Direct
0.036 0.250 0.186
0.175 0.750 0.333
0.196 0.750 0.034
0.304 0.250 0.534
0.325 0.250 0.833
0.464 0.750 0.686
0.536 0.250 0.314
0.675 0.750 0.167
0.696 0.750 0.466
0.804 0.250 0.966
0.825 0.250 0.667
0.964 0.750 0.814
0.074 0.750 0.575
0.426 0.250 0.075
0.574 0.750 0.925
0.926 0.250 0.425
0.136 0.119 0.993
0.136 0.381 0.993
0.144 0.114 0.682
0.144 0.386 0.682
0.214 0.115 0.342
0.214 0.385 0.342
0.286 0.615 0.842
0.286 0.885 0.842
0.356 0.614 0.182
0.356 0.886 0.182
0.364 0.619 0.493
0.364 0.881 0.493
0.636 0.119 0.507
0.636 0.381 0.507
0.644 0.114 0.818
0.644 0.386 0.818
0.714 0.115 0.158
0.714 0.385 0.158
0.786 0.615 0.658
0.786 0.885 0.658
0.856 0.614 0.318
0.856 0.886 0.318
0.864 0.619 0.007
0.864 0.881 0.007
```

Calculated values
Total DFT energy (no corrections) (eV/atom): -6.3484